This record from Alexandria via LeMat-Bulk describes a relaxed K2LiHg6 crystal. The functional is GGA-PBE.

Values from the calculation:
Magnetization ... 0.000 μB per cell
Formation energy from the elements ... -0.25 eV/atom
Calculated total energy ... -0.9097 eV/atom
Space group ... C2/m
DOS at the Fermi energy ... 3.40 states/eV/cell

Cell: 6.2036 6.9808 6.9808 Å, 60.03 89.84 89.84°
Element x y z (fractional)
1 Hg 0.6915 0.3511 0.8232
2 Hg 0.3085 0.6489 0.1768
3 Hg 0.6900 0.8257 0.8257
4 Hg 0.6915 0.8232 0.3511
5 Hg 0.3100 0.1743 0.1743
6 Hg 0.3085 0.1768 0.6489
7 K 0.8255 0.3324 0.3324
8 K 0.1745 0.6676 0.6676
9 Li 0.0000 0.0000 0.0000

This record from Alexandria via LeMat-Bulk describes a relaxed PmTm2C crystal. The functional is GGA-PBE.

Values from the calculation:
Magnetization ... 0.019 μB per cell
Energy above the lowest structure with this stoichiometry ... 0.088 eV/atom
Formation energy from the elements ... -0.13 eV/atom
Calculated total energy ... -5.8632 eV/atom
Space group ... R-3m
DOS at the Fermi energy ... 4.71 states/eV/cell

Cell: 3.4918 3.4918 9.9124 Å, 79.86 79.86 60.00°
Element x y z (fractional)
1 C 0.5000 0.5000 0.5000
2 Tm 0.8788 0.8788 0.3636
3 Tm 0.1212 0.1212 0.6364
4 Pm 0.0000 0.0000 0.0000

This record from Alexandria via LeMat-Bulk describes a relaxed MnAgHgI2 crystal. The functional is GGA-PBE.

Values from the calculation:
Magnetization ... 4.856 μB per cell
ΔE_f (raw) ... 65 kJ/mol of atoms
Calculated total energy ... -2.4131 eV/atom
Space group ... P4/mmm
DOS at the Fermi energy ... 2.39 states/eV/cell

Cell: 6.1849 5.1470 6.1849 Å, 90.00 90.00 90.00°
Site moments in Bohr magnetons follow the coordinates.
Element x y z (fractional)
1 Hg 0.0000 0.0000 0.0000  -0.03
2 Mn 0.0000 0.5000 0.0000  4.35
3 I 0.0000 0.0000 0.5000  0.04
4 I 0.5000 0.0000 0.0000  0.02
5 Ag 0.5000 0.5000 0.5000  -0.02

This record from Alexandria via LeMat-Bulk describes a relaxed Pm6DyY2Ho crystal. The functional is GGA-PBE.

Values from the calculation:
Magnetization ... 0.000 μB per cell
Formation energy from the elements ... 0.12 eV/atom
Calculated total energy ... -4.9418 eV/atom
Space group ... C2/c
DOS at the Fermi energy ... 29.03 states/eV/cell

Cell: 9.5689 8.9453 8.9453 Å, 117.43 93.42 93.42°
Element x y z (fractional)
1 Y 0.5471 0.2017 0.2989
2 Y 0.9529 0.7011 0.7983
3 Y 0.4529 0.7983 0.7011
4 Y 0.0471 0.2989 0.2017
5 Pm 0.6171 0.4857 0.7084
6 Pm 0.3829 0.5143 0.2916
7 Pm 0.1876 0.5641 0.0104
8 Pm 0.5560 0.7625 0.1177
9 Pm 0.6876 0.0104 0.5641
10 Pm 0.8124 0.4360 0.9896
11 Pm 0.9440 0.8823 0.2375
12 Pm 0.1171 0.7084 0.4857
13 Pm 0.0560 0.1177 0.7625
14 Pm 0.3124 0.9896 0.4360
15 Pm 0.8829 0.2916 0.5143
16 Pm 0.4440 0.2375 0.8823
17 Ho 0.2500 0.4109 0.5891
18 Ho 0.7500 0.5891 0.4109
19 Dy 0.2500 0.9701 0.0299
20 Dy 0.7500 0.0299 0.9701